# 1
# Sc6SbP2S3

A relaxed structure of Sc6SbP2S3 (PBE, Alexandria).

The space group is C2/m (No. 12) and the conventional cell measures 16.566, 3.781 and 7.645 Å, with angles of 90.00, 103.15 and 90.00 degrees. The inequivalent atoms are Sc at (0.004, 0.000, 0.275), Sc at (0.171, 0.500, 0.578), Sc at (0.176, 0.500, 0.101), Sb at (0.000, 0.500, 0.000), P at (0.167, 0.000, 0.336), S at (0.000, 0.500, 0.500) and S at (0.164, 0.000, 0.833).

The energy relative to the elements, uncorrected is -19.0 eV per formula unit. The volume comes out at 466.27 Å³/cell.

# 2
# MgSnPt4

A relaxed structure of MgSnPt4 (PBE, Alexandria).

The space group is P4/mmm (No. 123) and the conventional cell measures 4.327, 4.327 and 5.984 Å, with angles of 90.00, 90.00 and 90.00 degrees. The inequivalent atoms are Mg at (0.000, 0.000, 0.000), Sn at (0.500, 0.500, 0.500) and Pt at (0.000, 0.500, 0.241).

The volume comes out at 112.03 Å³/cell. The formation enthalpy at 0 K is -0.32 eV per atom.

# 3
# Pm3PrNd2Sm6

A relaxed structure of Pm3PrNd2Sm6 (PBE, Alexandria).

The space group is C2/m (No. 12) and the conventional cell measures 6.329, 10.962 and 12.090 Å, with angles of 90.00, 100.08 and 90.00 degrees. The inequivalent atoms are Pm at (0.000, 0.000, 0.000), Pm at (0.000, 0.333, 0.000), Pr at (0.000, 0.500, 0.500), Nd at (0.000, 0.167, 0.500), Sm at (0.249, 0.167, 0.249) and Sm at (0.250, 0.000, 0.751).

The volume comes out at 825.78 Å³/cell. The formation enthalpy at 0 K is 0.01 eV per atom.

# 4
# BeBRh

A relaxed structure of BeBRh (PBE, Alexandria).

The space group is F-43m (No. 216) and the conventional cell measures 4.948, 4.948 and 4.948 Å, with angles of 90.00, 90.00 and 90.00 degrees. The inequivalent atoms are Be at (0.000, 0.000, 0.000), B at (0.250, 0.250, 0.750) and Rh at (0.000, 0.000, 0.500).

The volume comes out at 121.14 Å³/cell. The formation enthalpy at 0 K is -0.28 eV per atom.

# 5
# Sb2Pd2Pb

A relaxed structure of Sb2Pd2Pb (PBE, Alexandria).

The space group is P4/mbm (No. 127) and the conventional cell measures 8.162, 8.162 and 3.326 Å, with angles of 90.00, 90.00 and 90.00 degrees. The inequivalent atoms are Sb at (0.156, 0.344, 0.000), Pd at (0.129, 0.629, 0.500) and Pb at (0.000, 0.000, 0.500).

The energy relative to the elements, uncorrected is -1.1 eV per formula unit. The volume comes out at 221.55 Å³/cell.

# 6
# AcNdAgPb

A relaxed structure of AcNdAgPb (PBE, Alexandria).

The space group is F-43m (No. 216) and the conventional cell measures 7.931, 7.931 and 7.931 Å, with angles of 90.00, 90.00 and 90.00 degrees. The inequivalent atoms are Ac at (0.000, 0.000, 0.000), Nd at (0.000, 0.000, 0.500), Ag at (0.250, 0.250, 0.250) and Pb at (0.250, 0.250, 0.750).

The volume comes out at 498.79 Å³/cell. The formation enthalpy at 0 K is -0.38 eV per atom.

# 7
# PuCu2HgO8

A relaxed structure of PuCu2HgO8 (PBE, Alexandria).

The space group is I-4m2 (No. 119) and the conventional cell measures 6.669, 6.669 and 7.002 Å, with angles of 90.00, 90.00 and 90.00 degrees. The inequivalent atoms are Pu at (0.000, 0.000, 0.000), Cu at (0.000, 0.000, 0.500), Cu at (0.000, 0.500, 0.750), Hg at (0.000, 0.500, 0.250), O at (0.000, 0.172, 0.294) and O at (0.000, 0.288, 0.939).

The energy relative to the elements, uncorrected is -9.1 eV per formula unit. The volume comes out at 311.46 Å³/cell.

# 8
# Dy2Th2Zn

A relaxed structure of Dy2Th2Zn (PBE, Alexandria).

The space group is I4/mmm (No. 139) and the conventional cell measures 3.567, 3.567 and 22.171 Å, with angles of 90.00, 90.00 and 90.00 degrees. The inequivalent atoms are Dy at (0.000, 0.000, 0.082), Th at (0.000, 0.000, 0.305) and Zn at (0.000, 0.000, 0.500).

The volume comes out at 282.05 Å³/cell. The formation enthalpy at 0 K is -0.13 eV per atom.

# 9
# Li5TbAg6

A relaxed structure of Li5TbAg6 (PBE, Alexandria).

The space group is P-1 (No. 2) and the conventional cell measures 4.615, 6.738 and 7.250 Å, with angles of 89.94, 72.37 and 89.97 degrees. The inequivalent atoms are Li at (0.000, 0.000, 0.000), Li at (0.328, 0.500, 0.347), Li at (0.339, 0.000, 0.321), Tb at (0.000, 0.500, 0.000), Ag at (0.175, 0.230, 0.651), Ag at (0.175, 0.770, 0.650) and Ag at (0.500, 0.223, 0.000).

The volume comes out at 214.81 Å³/cell. The formation enthalpy at 0 K is -0.19 eV per atom.

# 10
# ZnSb4

A relaxed structure of ZnSb4 (PBE, Alexandria).

The space group is Pm-3m (No. 221) and the conventional cell measures 5.233, 5.233 and 5.233 Å, with angles of 90.00, 90.00 and 90.00 degrees. The inequivalent atoms are Zn at (0.000, 0.000, 0.000), Sb at (0.000, 0.000, 0.500) and Sb at (0.500, 0.500, 0.500).

The energy relative to the elements, uncorrected is 2.7 eV per formula unit. The volume comes out at 143.31 Å³/cell.

# 11
# Sb2TeIO

A relaxed structure of Sb2TeIO (PBE, Alexandria).

The space group is P4/mmm (No. 123) and the conventional cell measures 5.818, 5.818 and 5.854 Å, with angles of 90.00, 90.00 and 90.00 degrees. The inequivalent atoms are Sb at (0.000, 0.500, 0.000), Te at (0.000, 0.000, 0.000), I at (0.000, 0.000, 0.500) and O at (0.500, 0.500, 0.500).

The energy relative to the elements, uncorrected is 6.3 eV per formula unit. The volume comes out at 198.17 Å³/cell.

# 12
# Ho5Tm12Cd2

A relaxed structure of Ho5Tm12Cd2 (PBE, Alexandria).

The space group is C2/m (No. 12) and the conventional cell measures 15.577, 9.131 and 8.027 Å, with angles of 90.00, 90.42 and 90.00 degrees. The inequivalent atoms are Ho at (0.000, 0.000, 0.000), Ho at (0.194, 0.500, 0.500), Ho at (0.239, 0.000, 0.084), Tm at (0.052, 0.500, 0.817), Tm at (0.091, 0.000, 0.396), Tm at (0.124, 0.303, 0.160), Tm at (0.155, 0.186, 0.745) and Cd at (0.000, 0.309, 0.500).

The volume comes out at 1141.65 Å³/cell. The formation enthalpy at 0 K is 0.05 eV per atom.

# 13
# Dy7Ho2Tm

A relaxed structure of Dy7Ho2Tm (PBE, Alexandria).

The space group is Cmmm (No. 65) and the conventional cell measures 8.648, 16.985 and 5.191 Å, with angles of 90.00, 90.00 and 90.00 degrees. The inequivalent atoms are Dy at (0.000, 0.000, 0.000), Dy at (0.000, 0.303, 0.500), Dy at (0.179, 0.391, 0.000), Ho at (0.000, 0.202, 0.000) and Tm at (0.000, 0.500, 0.500).

The volume comes out at 762.44 Å³/cell. The formation enthalpy at 0 K is 0.69 eV per atom.

# 14
# AlCuPt5

A relaxed structure of AlCuPt5 (PBE, Alexandria).

The space group is C2/c (No. 15) and the conventional cell measures 8.730, 8.823 and 6.701 Å, with angles of 90.00, 120.05 and 90.00 degrees. The inequivalent atoms are Al at (0.000, 0.203, 0.250), Cu at (0.250, 0.250, 0.000), Pt at (0.000, 0.070, 0.750), Pt at (0.049, 0.359, 0.582) and Pt at (0.246, 0.410, 0.364).

The volume comes out at 446.82 Å³/cell. The formation enthalpy at 0 K is -0.24 eV per atom.

# 15
# HoTm2Ga3

A relaxed structure of HoTm2Ga3 (PBE, Alexandria).

The space group is Cmcm (No. 63) and the conventional cell measures 4.506, 20.656 and 6.121 Å, with angles of 90.00, 90.00 and 90.00 degrees. The inequivalent atoms are Ho at (0.000, 0.179, 0.250), Tm at (0.000, 0.360, 0.250), Tm at (0.000, 0.467, 0.750), Ga at (0.000, 0.063, 0.541) and Ga at (0.000, 0.233, 0.750).

The volume comes out at 569.73 Å³/cell. The formation enthalpy at 0 K is -0.50 eV per atom.

# 16
# Cs2YAuI6

A relaxed structure of Cs2YAuI6 (PBE, Alexandria).

The space group is Fm-3m (No. 225) and the conventional cell measures 12.150, 12.150 and 12.150 Å, with angles of 90.00, 90.00 and 90.00 degrees. The inequivalent atoms are Cs at (0.250, 0.250, 0.250), Y at (0.000, 0.000, 0.000), Au at (0.000, 0.000, 0.500) and I at (0.000, 0.000, 0.250).

The energy relative to the elements, uncorrected is -11.3 eV per formula unit. The volume comes out at 1793.77 Å³/cell.

# 17
# Be2CoAg

A relaxed structure of Be2CoAg (PBE, Alexandria).

The space group is Fm-3m (No. 225) and the conventional cell measures 5.538, 5.538 and 5.538 Å, with angles of 90.00, 90.00 and 90.00 degrees. The inequivalent atoms are Be at (0.250, 0.250, 0.250), Co at (0.000, 0.000, 0.000) and Ag at (0.000, 0.000, 0.500).

The volume comes out at 169.87 Å³/cell. The formation enthalpy at 0 K is 0.03 eV per atom.

# 18
# TiCr2HIr

A relaxed structure of TiCr2HIr (PBE, Alexandria).

The space group is P4/mmm (No. 123) and the conventional cell measures 3.692, 3.692 and 4.138 Å, with angles of 90.00, 90.00 and 90.00 degrees. The inequivalent atoms are Ti at (0.000, 0.000, 0.000), Cr at (0.000, 0.500, 0.500), H at (0.000, 0.000, 0.500) and Ir at (0.500, 0.500, 0.000).

The volume comes out at 56.41 Å³/cell.

# 19
# Tm3PtRh

A relaxed structure of Tm3PtRh (PBE, Alexandria).

The space group is Pmmn (No. 59, origin choice 2) and the conventional cell measures 4.021, 6.856 and 8.643 Å, with angles of 90.00, 90.00 and 90.00 degrees. The inequivalent atoms are Tm at (0.250, 0.012, 0.169), Tm at (0.250, 0.250, 0.558), Pt at (0.250, 0.750, 0.663) and Rh at (0.250, 0.250, 0.894).

The volume comes out at 238.29 Å³/cell. The formation enthalpy at 0 K is -0.90 eV per atom.

# 20
# KSrIn3

A relaxed structure of KSrIn3 (PBE, Alexandria).

The space group is Pm-3m (No. 221) and the conventional cell measures 6.285, 6.285 and 6.285 Å, with angles of 90.00, 90.00 and 90.00 degrees. The inequivalent atoms are K at (0.000, 0.000, 0.000), Sr at (0.500, 0.500, 0.500) and In at (0.000, 0.500, 0.500).

The volume comes out at 248.24 Å³/cell. The formation enthalpy at 0 K is 0.38 eV per atom.

# 21
# NaSr2VOs

A relaxed structure of NaSr2VOs (PBE, Alexandria).

The space group is P4/mmm (No. 123) and the conventional cell measures 5.688, 5.688 and 4.881 Å, with angles of 90.00, 90.00 and 90.00 degrees. The inequivalent atoms are Na at (0.000, 0.000, 0.000), Sr at (0.000, 0.500, 0.000), V at (0.000, 0.000, 0.500) and Os at (0.500, 0.500, 0.500).

The volume comes out at 157.90 Å³/cell. The formation enthalpy at 0 K is 1.86 eV per atom.

# 22
# NaAcPt

A relaxed structure of NaAcPt (PBE, Alexandria).

The space group is F-43m (No. 216) and the conventional cell measures 7.153, 7.153 and 7.153 Å, with angles of 90.00, 90.00 and 90.00 degrees. The inequivalent atoms are Na at (0.000, 0.000, 0.000), Ac at (0.000, 0.000, 0.500) and Pt at (0.250, 0.250, 0.750).

The volume comes out at 366.00 Å³/cell. The formation enthalpy at 0 K is -0.58 eV per atom.

# 23
# CsHRuSe

A relaxed structure of CsHRuSe (PBE, Alexandria).

The space group is Cm (No. 8) and the conventional cell measures 6.823, 3.910 and 7.467 Å, with angles of 90.00, 107.76 and 90.00 degrees. The inequivalent atoms are Cs at (0.000, 0.000, 0.000), H at (0.238, 0.500, 0.206), Ru at (0.184, 0.000, 0.552) and Se at (0.318, 0.500, 0.450).

The volume comes out at 189.71 Å³/cell.

# 24
# NaUTe

A relaxed structure of NaUTe (PBE, Alexandria).

The space group is Cm (No. 8) and the conventional cell measures 6.632, 3.830 and 13.500 Å, with angles of 90.00, 99.65 and 90.00 degrees. The inequivalent atoms are Na at (0.000, 0.000, 0.000), Na at (0.241, 0.500, 0.242), U at (0.019, 0.500, 0.568), U at (0.389, 0.500, 0.674), Te at (0.132, 0.000, 0.411) and Te at (0.276, 0.000, 0.830).

The energy relative to the elements, uncorrected is -1.5 eV per formula unit. The volume comes out at 338.05 Å³/cell.

| no. | DFT total energy (eV per atom) |
| --- | --- |
| 1 | -7.0302 |
| 2 | -5.2810 |
| 3 | -4.7275 |
| 4 | -6.2012 |
| 5 | -4.6859 |
| 6 | -4.2419 |
| 7 | -5.9697 |
| 8 | -5.1917 |
| 9 | -2.8012 |
| 10 | -3.0034 |
| 11 | -2.3202 |
| 12 | -4.0770 |
| 13 | -3.8894 |
| 14 | -5.6712 |
| 15 | -4.2619 |
| 16 | -3.2086 |
| 17 | -4.3220 |
| 18 | -8.0447 |
| 19 | -6.2602 |
| 20 | -1.8231 |
| 21 | -3.1434 |
| 22 | -4.4015 |
| 23 | -3.9370 |
| 24 | -5.7462 |